[1]
# BeCdAg2 (GGA-PBE, optimized geometry)
# * calculated volume: 66.0 Å³/cell
# * polymorph energy (0 for the lowest one): 0.139 eV per atom
# * calculated formation energy: 0.22 eV/atom
data_BeCdAg2
_chemical_formula_sum 'Be1 Cd1 Ag2'
_symmetry_space_group_name_H-M 'P 1'
_symmetry_Int_Tables_number 1
_cell_length_a 4.5362
_cell_length_b 4.5362
_cell_length_c 4.5362
_cell_angle_alpha 60.00
_cell_angle_beta 60.00
_cell_angle_gamma 60.00
loop_
_symmetry_equiv_pos_as_xyz
'x,y,z'
loop_
_atom_site_label
_atom_site_fract_x
_atom_site_fract_y
_atom_site_fract_z
Ag1 0.2500 0.2500 0.2500
Ag2 0.7500 0.7500 0.7500
Cd1 0.5000 0.5000 0.5000
Be1 0.0000 0.0000 0.0000



[2]
# Be2CdAg2 (GGA-PBE, optimized geometry)
# * calculated volume: 143.6 Å³/cell
# * polymorph energy (0 for the lowest one): 0.000 eV per atom
# * calculated formation energy: 0.14 eV/atom
data_Be2CdAg2
_chemical_formula_sum 'Be4 Cd2 Ag4'
_symmetry_space_group_name_H-M 'P 1'
_symmetry_Int_Tables_number 1
_cell_length_a 6.8800
_cell_length_b 6.8800
_cell_length_c 3.0328
_cell_angle_alpha 90.00
_cell_angle_beta 90.00
_cell_angle_gamma 90.00
loop_
_symmetry_equiv_pos_as_xyz
'x,y,z'
loop_
_atom_site_label
_atom_site_fract_x
_atom_site_fract_y
_atom_site_fract_z
Ag1 0.8374 0.3374 0.5000
Ag2 0.1626 0.6626 0.5000
Ag3 0.6626 0.8374 0.5000
Ag4 0.3374 0.1626 0.5000
Be1 0.8761 0.6239 0.0000
Be2 0.3761 0.8761 0.0000
Be3 0.1239 0.3761 0.0000
Be4 0.6239 0.1239 0.0000
Cd1 0.5000 0.5000 0.0000
Cd2 0.0000 0.0000 0.0000